No. 1
A geometry-optimized OsPtCl structure. Source: the Alexandria database, functional PBE.

As for the total energy: -64.2 eV per cell. Its formation energy (no corrections) is 1.018 eV per atom. For the density of states at the Fermi level, the calculation gives 16.48 states/eV per cell. The magnetic moment comes out at 0.00 μB per formula unit.

The structure belongs to space group F-43m (No. 216); the cell edges are 6.042, 6.042 and 6.042 Å and the angles 90.00°, 90.00° and 90.00°. The distinct sites, in fractional coordinates, are Os at (0.000, 0.000, 0.000), Pt at (0.250, 0.250, 0.250) and Cl at (0.250, 0.250, 0.750).


No. 2
A geometry-optimized OsPtCl2 structure. Source: the Alexandria database, functional PBE.

As for the total energy: -36.7 eV per cell. Its formation energy (no corrections) is 0.659 eV per atom. For the density of states at the Fermi level, the calculation gives 7.21 states/eV per cell. The magnetic moment comes out at 2.84 μB per formula unit.

The structure belongs to space group Imm2 (No. 44); the cell edges are 2.866, 7.298 and 9.586 Å and the angles 90.00°, 90.00° and 90.00°. The distinct sites, in fractional coordinates, are Os at (0.000, 0.000, 0.000), Pt at (0.000, 0.500, 0.720), Cl at (0.000, 0.000, 0.431) and Cl at (0.000, 0.500, 0.299).


No. 3
A geometry-optimized Os2PtCl structure. Source: the Alexandria database, functional PBE.

As for the total energy: -25.4 eV per cell. Its formation energy (no corrections) is 1.239 eV per atom. For the density of states at the Fermi level, the calculation gives 6.49 states/eV per cell. The magnetic moment comes out at 1.18 μB per formula unit.

The structure belongs to space group P4/mmm (No. 123); the cell edges are 4.709, 4.709 and 2.768 Å and the angles 90.00°, 90.00° and 90.00°. The distinct sites, in fractional coordinates, are Os at (0.000, 0.500, 0.000), Pt at (0.000, 0.000, 0.500) and Cl at (0.500, 0.500, 0.500).


No. 4
A geometry-optimized OsPtCl2 structure. Source: the Alexandria database, functional PBE.

As for the total energy: -17.6 eV per cell. Its formation energy (no corrections) is 0.843 eV per atom. For the density of states at the Fermi level, the calculation gives 4.32 states/eV per cell. The magnetic moment comes out at 0.00 μB per formula unit.

The structure belongs to space group P2/m (No. 10); the cell edges are 2.974, 4.261 and 5.117 Å and the angles 90.00°, 93.92° and 90.00°. The distinct sites, in fractional coordinates, are Os at (0.000, 0.000, 0.000), Pt at (0.500, 0.000, 0.500) and Cl at (0.202, 0.500, 0.241).